Entry 1:
This record from Alexandria describes a relaxed structure of Tb2TmIr. The functional is PBE.

a = 7.2036 Å, b = 9.3400 Å, c = 6.3529 Å
α = 90.00°, β = 90.00°, γ = 90.00°
Element x y z (fractional)
Tb  0.1786  0.0627  0.1753
Tb  0.1786  0.4373  0.1753
Tb  0.3214  0.5627  0.6753
Tb  0.3214  0.9373  0.6753
Tb  0.6786  0.0627  0.3247
Tb  0.6786  0.4373  0.3247
Tb  0.8214  0.5627  0.8247
Tb  0.8214  0.9373  0.8247
Tm  0.0355  0.2500  0.6343
Tm  0.4645  0.7500  0.1343
Tm  0.5355  0.2500  0.8657
Tm  0.9645  0.7500  0.3657
Ir  0.1161  0.7500  0.9581
Ir  0.3839  0.2500  0.4581
Ir  0.6161  0.7500  0.5419
Ir  0.8839  0.2500  0.0419

***

Entry 2:
This record from Alexandria describes a relaxed structure of TbTmIr. The functional is PBE.

a = 6.7739 Å, b = 6.7739 Å, c = 6.7739 Å
α = 150.45°, β = 150.45°, γ = 42.28°
Element x y z (fractional)
Tb  0.0000  0.0000  0.0000
Tm  0.2563  0.2563  0.0000
Ir  0.6316  0.6316  0.0000

***

Entry 3:
This record from Alexandria describes a relaxed structure of TbTmIr. The functional is PBE.

a = 7.9421 Å, b = 7.9421 Å, c = 7.9421 Å
α = 147.35°, β = 147.35°, γ = 46.85°
Element x y z (fractional)
Tb  0.1843  0.1843  0.0000
Tb  0.8157  0.8157  0.0000
Tm  0.0000  0.5000  0.5000
Tm  0.5000  0.0000  0.5000
Ir  0.3736  0.3736  0.0000
Ir  0.6264  0.6264  0.0000

***

| no. | total DFT energy (no corrections) (eV/atom) |
| --- | --- |
| 1 | -6.23 |
| 2 | -6.58 |
| 3 | -6.62 |